Entry 1:
Material: CuP6Pt
Method: DFT, meta-GGA SCAN
State: PBEsol geometry

```
8
Lattice="5.178 0.000 0.000 1.344 5.363 0.000 2.213 2.024 4.845" Properties=species:S:1:pos:R:3 pbc="T T T"
Cu 0.000 0.000 0.000
P 2.570 4.043 4.025
P 3.473 5.519 1.004
P 2.943 2.343 1.045
P 5.792 5.044 3.800
P 5.262 1.868 3.841
P 6.165 3.344 0.820
Pt 4.368 3.693 2.423
```

Properties
Formation energy from the elements ... -0.1218 eV per atom
Theoretical density ... 5.486 Mg/m³
Calculated total energy ... -18.59 eV/atom

Entry 2:
Material: Rb3CuP
Method: DFT, meta-GGA SCAN
State: PBEsol geometry

```
5
Lattice="6.009 0.000 0.000 0.000 6.009 0.000 0.000 0.000 6.009" Properties=species:S:1:pos:R:3 pbc="T T T"
Rb 0.000 0.000 3.005
Rb 0.000 3.005 0.000
Rb 3.005 0.000 0.000
Cu 0.000 0.000 0.000
P 3.005 3.005 3.005
```

Properties
Formation energy from the elements ... 0.4420 eV per atom
Theoretical density ... 2.685 Mg/m³
Calculated total energy ... -17.12 eV/atom

Entry 3:
Material: RbCu2P
Method: DFT, meta-GGA SCAN
State: PBEsol geometry

```
4
Lattice="0.000 3.272 3.272 3.272 0.000 3.272 3.272 3.272 0.000" Properties=species:S:1:pos:R:3 pbc="T T T"
Rb 0.000 0.000 0.000
Cu 1.636 1.636 1.636
Cu 4.907 4.907 4.907
P 3.272 3.272 3.272
```

Properties
Energy above the most stable polymorph in this dataset ... 0.916 eV per atom
Formation energy from the elements ... 0.6971 eV per atom
Theoretical density ... 5.774 Mg/m³
Calculated total energy ... -14.69 eV/atom

Entry 4:
Material: RbCu2P
Method: DFT, meta-GGA SCAN
State: PBEsol geometry

```
8
Lattice="-2.651 2.651 6.931 2.651 -2.651 6.931 2.651 2.651 -6.931" Properties=species:S:1:pos:R:3 pbc="T T T"
Rb 2.651 1.325 1.733
Rb 0.000 1.325 5.198
Cu 0.000 0.000 0.000
Cu 1.325 1.325 -3.465
Cu 1.325 -1.325 3.465
Cu 0.000 2.651 0.000
P 2.651 -1.325 5.198
P 0.000 3.976 1.733
```

Properties
Energy above the most stable polymorph in this dataset ... 0.000 eV per atom
Formation energy from the elements ... -0.2190 eV per atom
Theoretical density ... 4.152 Mg/m³
Calculated total energy ... -15.60 eV/atom

Entry 5:
Material: CuReP
Method: DFT, meta-GGA SCAN
State: PBEsol geometry

```
3
Lattice="2.837 0.000 0.000 -1.419 2.457 0.000 0.000 0.000 5.741" Properties=species:S:1:pos:R:3 pbc="T T T"
Cu 0.000 0.000 0.000
Re 1.419 0.819 2.143
P 0.000 1.638 3.880
```

Properties
Formation energy from the elements ... 0.2235 eV per atom
Theoretical density ... 11.648 Mg/m³
Calculated total energy ... -32.01 eV/atom

Entry 6:
Material: CuRePS2
Method: DFT, meta-GGA SCAN
State: PBEsol geometry

```
5
Lattice="4.299 0.000 0.000 0.000 4.299 0.000 0.000 0.000 4.306" Properties=species:S:1:pos:R:3 pbc="T T T"
Cu 0.000 0.000 0.000
Re 2.150 2.150 2.153
P 0.000 0.000 2.153
S 0.000 2.150 0.000
S 2.150 0.000 0.000
```

Properties
Theoretical density ... 7.196 Mg/m³
Calculated total energy ... -21.74 eV/atom
Formation energy (no corrections) ... 1451 meV per atom

Entry 7:
Material: CuPRh2
Method: DFT, meta-GGA SCAN
State: PBEsol geometry

```
4
Lattice="3.733 0.000 0.000 0.000 1.416 4.915 0.000 -1.416 4.915" Properties=species:S:1:pos:R:3 pbc="T T T"
Cu 0.000 0.000 0.000
P 1.867 0.000 3.932
Rh 0.000 0.000 2.673
Rh 1.867 0.000 6.123
```

Properties
Formation energy from the elements ... -0.2214 eV per atom
Theoretical density ... 9.599 Mg/m³
Calculated total energy ... -23.51 eV/atom

Entry 8:
Material: CuP2Rh
Method: DFT, meta-GGA SCAN
State: PBEsol geometry

```
4
Lattice="2.793 0.000 0.000 0.000 2.793 0.000 0.000 0.000 7.098" Properties=species:S:1:pos:R:3 pbc="T T T"
Cu 0.000 0.000 0.000
P 0.000 0.000 3.872
P 1.397 1.397 1.414
Rh 1.397 1.397 5.177
```

Properties
Energy above the most stable polymorph in this dataset ... 0.122 eV per atom
Formation energy from the elements ... 0.0506 eV per atom
Theoretical density ... 6.848 Mg/m³
Calculated total energy ... -17.39 eV/atom

Entry 9:
Material: Cu2PRh
Method: DFT, meta-GGA SCAN
State: PBEsol geometry

```
4
Lattice="4.117 -1.494 0.000 4.117 1.494 0.000 -1.812 0.000 4.044" Properties=species:S:1:pos:R:3 pbc="T T T"
Cu 0.000 0.000 0.000
Cu 0.449 0.000 3.253
P 3.512 0.000 1.723
Rh 5.901 0.000 1.464
```

Properties
Formation energy from the elements ... -0.1847 eV per atom
Theoretical density ... 8.709 Mg/m³
Calculated total energy ... -18.83 eV/atom

Entry 10:
Material: Cu2PRh
Method: DFT, meta-GGA SCAN
State: PBEsol geometry

```
4
Lattice="3.497 0.000 0.000 0.000 3.497 0.000 0.000 0.000 3.935" Properties=species:S:1:pos:R:3 pbc="T T T"
Cu 0.000 1.749 0.000
Cu 1.749 0.000 0.000
P 0.000 0.000 1.968
Rh 1.749 1.749 1.968
```

Properties
Formation energy from the elements ... -0.0725 eV per atom
Theoretical density ... 9.004 Mg/m³
Calculated total energy ... -18.71 eV/atom

Entry 11:
Material: CuP2Rh
Method: DFT, meta-GGA SCAN
State: PBEsol geometry

```
4
Lattice="1.457 0.841 7.112 -1.457 0.841 7.112 0.000 -1.682 7.112" Properties=species:S:1:pos:R:3 pbc="T T T"
Cu 0.000 0.000 0.000
P 0.000 0.000 5.337
P 0.000 0.000 16.000
Rh 0.000 0.000 10.668
```

Properties
Energy above the most stable polymorph in this dataset ... 0.000 eV per atom
Formation energy from the elements ... -0.0709 eV per atom
Theoretical density ... 7.251 Mg/m³
Calculated total energy ... -17.51 eV/atom

Entry 12:
Material: CuP2Rh
Method: DFT, meta-GGA SCAN
State: PBEsol geometry

```
4
Lattice="2.842 0.000 0.000 0.000 2.842 0.000 0.000 0.000 6.438" Properties=species:S:1:pos:R:3 pbc="T T T"
Cu 0.000 0.000 0.000
P 1.421 1.421 1.667
P 1.421 1.421 4.772
Rh 0.000 0.000 3.219
```

Properties
Energy above the most stable polymorph in this dataset ... 0.147 eV per atom
Formation energy from the elements ... 0.0759 eV per atom
Theoretical density ... 7.293 Mg/m³
Calculated total energy ... -17.37 eV/atom

What did the eighth record say?
Material: CuP2Rh
Method: DFT, meta-GGA SCAN
State: PBEsol geometry

```
4
Lattice="2.793 0.000 0.000 0.000 2.793 0.000 0.000 0.000 7.098" Properties=species:S:1:pos:R:3 pbc="T T T"
Cu 0.000 0.000 0.000
P 0.000 0.000 3.872
P 1.397 1.397 1.414
Rh 1.397 1.397 5.177
```

Properties
Energy above the most stable polymorph in this dataset ... 0.122 eV per atom
Formation energy from the elements ... 0.0506 eV per atom
Theoretical density ... 6.848 Mg/m³
Calculated total energy ... -17.39 eV/atom